RbLi3Ga: relaxed, PBEsol.

The space group is Pm-3m (No. 221) and the conventional cell measures 5.225, 5.225 and 5.225 Å, with angles of 90.00, 90.00 and 90.00 degrees. Symmetry generates all atoms from Rb at (0.000, 0.000, 0.000), Li at (0.000, 0.500, 0.500) and Ga at (0.500, 0.500, 0.500).

Its energy of formation is 37 meV/atom. The density comes out at 2.05 g cm⁻³. The calculation puts the size of the total moment at 0.0 μB/f.u.